P) The following is a DFT calculation (PBE-GGA) of a relaxed Sn2P2O7 crystal.

a b c (Å): 7.069 8.740 11.505
angles (deg): 90.00 96.95 90.00
Space group C2/c (No. 15)
Asymmetric unit:
Sn1 0.029 0.198 0.052 [8 per cell]
P1 0.190 0.455 0.712 [8 per cell]
O1 0.000 0.373 0.750 [4 per cell]
O2 0.132 0.387 0.162 [8 per cell]
O3 0.167 0.035 0.178 [8 per cell]
O4 0.244 0.153 0.382 [8 per cell]


Q) The following is a DFT calculation (PBE-GGA) of a relaxed Sn2P2O7 crystal.

a b c (Å): 7.199 7.199 26.796
angles (deg): 90.00 90.00 90.00
Space group P4_1 (No. 76)
Asymmetric unit:
Sn1 0.058 0.217 0.000 [4 per cell]
Sn2 0.127 0.423 0.628 [4 per cell]
Sn3 0.173 0.657 0.884 [4 per cell]
Sn4 0.375 0.609 0.247 [4 per cell]
P1 0.066 0.218 0.847 [4 per cell]
P2 0.069 0.741 0.005 [4 per cell]
P3 0.146 0.456 0.759 [4 per cell]
P4 0.289 0.314 0.345 [4 per cell]
O1 0.009 0.340 0.797 [4 per cell]
O2 0.015 0.921 0.979 [4 per cell]
O3 0.034 0.473 0.711 [4 per cell]
O4 0.049 0.822 0.578 [4 per cell]
O5 0.099 0.358 0.530 [4 per cell]
O6 0.113 0.840 0.373 [4 per cell]
O7 0.134 0.370 0.381 [4 per cell]
O8 0.178 0.572 0.119 [4 per cell]
O9 0.179 0.607 0.972 [4 per cell]
O10 0.186 0.644 0.785 [4 per cell]
O11 0.187 0.347 0.879 [4 per cell]
O12 0.188 0.204 0.300 [4 per cell]
O13 0.322 0.336 0.753 [4 per cell]
O14 0.390 0.483 0.322 [4 per cell]


Which structure is the most stable? The one labeled Q).


P) The following is a DFT calculation (PBE-GGA) of a relaxed Sn2PO crystal.

a b c (Å): 6.587 6.587 6.587
angles (deg): 90.00 90.00 90.00
Space group Fm-3m (No. 225)
Asymmetric unit:
Sn1 0.250 0.250 0.250 [8 per cell]
P1 0.000 0.000 0.000 [4 per cell]
O1 0.000 0.000 0.500 [4 per cell]


Q) The following is a DFT calculation (PBE-GGA) of a relaxed Sn2PO crystal.

a b c (Å): 5.298 5.298 13.189
angles (deg): 90.00 90.00 90.00
Space group I-42d (No. 122)
Asymmetric unit:
Sn1 0.181 0.250 0.125 [8 per cell]
P1 0.000 0.000 0.500 [4 per cell]
O1 0.000 0.000 0.000 [4 per cell]


Which structure is the most stable? The one labeled Q).


P) The following is a DFT calculation (PBE-GGA) of a relaxed Sn3P4O14 crystal.

a b c (Å): 8.885 9.053 8.497
angles (deg): 90.00 106.70 90.00
Space group P2_1/c (No. 14)
Asymmetric unit:
Sn1 0.000 0.000 0.000 [2 per cell]
Sn2 0.259 0.080 0.635 [4 per cell]
P1 0.129 0.696 0.837 [4 per cell]
P2 0.348 0.011 0.275 [4 per cell]
O1 0.000 0.157 0.824 [4 per cell]
O2 0.120 0.605 0.984 [4 per cell]
O3 0.122 0.637 0.368 [4 per cell]
O4 0.218 0.076 0.126 [4 per cell]
O5 0.294 0.659 0.801 [4 per cell]
O6 0.355 0.102 0.428 [4 per cell]
O7 0.498 0.501 0.267 [4 per cell]


Q) The following is a DFT calculation (PBE-GGA) of a relaxed Sn3P4O14 crystal.

a b c (Å): 5.586 7.116 9.172
angles (deg): 89.59 83.80 68.05
Space group P-1 (No. 2)
Asymmetric unit:
Sn1 0.000 0.000 0.000 [1 per cell]
Sn2 0.163 0.593 0.322 [2 per cell]
P1 0.229 0.651 0.717 [2 per cell]
P2 0.351 0.303 0.954 [2 per cell]
O1 0.058 0.601 0.615 [2 per cell]
O2 0.074 0.851 0.803 [2 per cell]
O3 0.192 0.181 0.905 [2 per cell]
O4 0.252 0.407 0.102 [2 per cell]
O5 0.318 0.468 0.829 [2 per cell]
O6 0.354 0.820 0.072 [2 per cell]
O7 0.479 0.651 0.632 [2 per cell]


Which structure is the most stable? The one labeled P).


P) The following is a DFT calculation (PBE-GGA) of a relaxed SnP2O6 crystal.

a b c (Å): 7.510 9.680 16.053
angles (deg): 90.00 90.00 90.00
Space group Pbca (No. 61)
Asymmetric unit:
Sn1 0.037 0.003 0.189 [8 per cell]
P1 0.125 0.708 0.082 [8 per cell]
P2 0.241 0.748 0.908 [8 per cell]
O1 0.081 0.164 0.429 [8 per cell]
O2 0.092 0.650 0.398 [8 per cell]
O3 0.139 0.636 0.592 [8 per cell]
O4 0.204 0.619 0.149 [8 per cell]
O5 0.208 0.663 0.994 [8 per cell]
O6 0.222 0.145 0.841 [8 per cell]


Q) The following is a DFT calculation (PBE-GGA) of a relaxed SnP2O6 crystal.

a b c (Å): 9.478 11.551 11.442
angles (deg): 90.00 90.00 90.00
Space group C222_1 (No. 20)
Asymmetric unit:
Sn1 0.171 0.221 0.051 [8 per cell]
P1 0.000 0.401 0.250 [4 per cell]
P2 0.093 0.000 0.500 [4 per cell]
P3 0.215 0.424 0.811 [8 per cell]
O1 0.014 0.113 0.490 [8 per cell]
O2 0.019 0.336 0.137 [8 per cell]
O3 0.116 0.357 0.887 [8 per cell]
O4 0.132 0.485 0.273 [8 per cell]
O5 0.181 0.137 0.234 [8 per cell]
O6 0.196 0.018 0.610 [8 per cell]


R) The following is a DFT calculation (PBE-GGA) of a relaxed SnP2O6 crystal.

a b c (Å): 13.484 9.390 11.299
angles (deg): 90.00 121.39 90.00
Space group C2/c (No. 15)
Asymmetric unit:
Sn1 0.000 0.004 0.250 [4 per cell]
Sn2 0.250 0.250 0.000 [4 per cell]
P1 0.007 0.293 0.041 [8 per cell]
P2 0.185 0.479 0.675 [8 per cell]
O1 0.022 0.172 0.395 [8 per cell]
O2 0.047 0.258 0.942 [8 per cell]
O3 0.101 0.393 0.167 [8 per cell]
O4 0.106 0.394 0.531 [8 per cell]
O5 0.215 0.391 0.799 [8 per cell]
O6 0.218 0.041 0.839 [8 per cell]


Which structure is the most stable? The one labeled P).